Entry 1:
A relaxed structure of TaMoW, computed with PBEsol.

The structure in POSCAR format:
```
TaMoW
1.0
0.0000 3.0609 3.0609
3.0609 0.0000 3.0609
3.0609 3.0609 0.0000
Ta Mo W
1 1 1
Direct
0.0000 0.0000 0.0000 Ta
0.5000 0.5000 0.5000 Mo
0.7500 0.7500 0.7500 W
```

Calculated values
- energy above the most stable polymorph in this dataset (meV/atom) = 1030
- calculated total energy (eV for the cell shown) = -35.47
- energy of formation (eV per atom) = 0.884

Entry 2:
A relaxed structure of MgZrSc2, computed with PBEsol.

The structure in POSCAR format:
```
MgZrSc2
1.0
5.2643 -1.5675 0.0000
5.2643 1.5675 0.0000
-1.1267 0.0000 5.5042
Mg Zr Sc
1 1 2
Direct
0.0000 0.0000 0.0000 Mg
0.5000 0.5000 0.5000 Zr
0.2504 0.2504 0.7381 Sc
0.7496 0.7496 0.2619 Sc
```

Calculated values
- calculated total energy (eV for the cell shown) = -23.81
- energy of formation (eV per atom) = 0.052

Entry 3:
A relaxed structure of CdHgAu2, computed with PBEsol.

The structure in POSCAR format:
```
CdHgAu2
1.0
2.9886 -3.9629 0.0000
2.9886 3.9629 0.0000
0.0000 0.0000 3.1215
Cd Hg Au
1 1 2
Direct
0.0000 0.0000 0.0000 Cd
0.5000 0.5000 0.0000 Hg
0.0000 0.5000 0.5000 Au
0.5000 0.0000 0.5000 Au
```

Calculated values
- calculated total energy (eV for the cell shown) = -9.80
- energy of formation (eV per atom) = -0.048

Entry 4:
A relaxed structure of SmCuSeO, computed with PBEsol.

The structure in POSCAR format:
```
SmCuSeO
1.0
3.9113 0.0000 0.0000
0.0000 3.9113 0.0000
0.0000 0.0000 8.5687
Sm Cu Se O
2 2 2 2
Direct
0.2500 0.2500 0.1367 Sm
0.7500 0.7500 0.8633 Sm
0.2500 0.7500 0.5000 Cu
0.7500 0.2500 0.5000 Cu
0.2500 0.2500 0.6777 Se
0.7500 0.7500 0.3223 Se
0.2500 0.7500 0.0000 O
0.7500 0.2500 0.0000 O
```

Calculated values
- uncorrected formation energy (eV/atom) = -1.98
- calculated total energy (eV for the cell shown) = -52.90